No. 1
Compound: K2SrCo
Source: Alexandria
Functional: GGA-PBE
Structure: relaxed

Cell: 4.7239 6.5996 5.3396 Å, 90.00 96.61 90.00°
Closest atoms and distances in Å follow each position.
Space group P2/m (No. 10)
Asymmetric unit:
K1 0.2100 0.0000 0.2816 x2  3 K 3.23-3.41
Sr1 0.5000 0.5000 0.0000 x1  2 Co 3.35
Co1 0.0000 0.5000 0.5000 x1  2 Sr 3.35, 4 K 3.67

DOS(E_F), states/eV/cell: 3.72
Energy above the lowest structure with this stoichiometry, meV per atom: 238.3
ρ, Mg/m³: 2.26
Formation energy from the elements, eV/atom: 0.7690
Magnetization, Bohr magnetons per cell: 1.4

No. 2
Compound: ZrTcGe2I
Source: Alexandria
Functional: GGA-PBE
Structure: relaxed

Cell: 5.2709 5.2709 4.8040 Å, 90.00 90.00 90.00°
Closest atoms and distances in Å follow each position.
Space group P4/mmm (No. 123)
Asymmetric unit:
Zr1 0.0000 0.0000 0.0000 x1  8 Ge 3.57, 4 Tc 3.73
Tc1 0.5000 0.5000 0.0000 x1  2 I 2.40
Ge1 0.0000 0.5000 0.5000 x2  2 I 2.64
I1 0.5000 0.5000 0.5000 x1  2 Tc 2.40, 4 Ge 2.64

DOS(E_F), states/eV/cell: 6.31
ρ, Mg/m³: 5.74
Magnetization, Bohr magnetons per cell: 0.8

No. 3
Compound: Tb12Dy2Tl
Source: Alexandria
Functional: GGA-PBE
Structure: relaxed

Cell: 7.1689 11.2694 23.9529 Å, 90.00 97.90 90.00°
Closest atoms and distances in Å follow each position.
Space group C2/m (No. 12)
Asymmetric unit:
Tb1 0.0179 0.2493 0.3044 x8  3 Tb 3.09-3.26
Tb2 0.0425 0.0000 0.3736 x4  1 Tl 3.19, 2 Tb 3.25
Tb3 0.0423 0.5000 0.3727 x4  1 Tl 3.20, 2 Tb 3.26
Tb4 0.0445 0.2501 0.8260 x8  3 Tb 3.09-3.31
Tb5 0.0887 0.5000 0.9230 x4  8 Tb 3.37-3.64
Tb6 0.0899 0.0000 0.9234 x4  8 Tb 3.37-3.64
Tb7 0.1510 0.2496 0.0567 x8  10 Tb 3.23-3.58
Tb8 0.1688 0.2503 0.5678 x8  2 Tl 3.34, 9 Tb 3.51-3.67
Dy1 0.2324 0.0000 0.2332 x4  2 Dy 3.58, 10 Tb 3.62-3.80
Dy2 0.2324 0.5000 0.2333 x4  2 Dy 3.58, 10 Tb 3.62-3.78
Tl1 0.2492 0.5000 0.4997 x4  6 Tb 3.19-3.34, 1 Tl 3.57

DOS(E_F), states/eV/cell: 83.01
ρ, Mg/m³: 8.44
Formation energy from the elements, eV/atom: 0.0679
Magnetization, Bohr magnetons per cell: 0.0

No. 4
Compound: GdHoC2
Source: Alexandria
Functional: GGA-PBE
Structure: relaxed

Cell: 3.6064 3.6064 17.6479 Å, 90.00 90.00 120.00°
Closest atoms and distances in Å follow each position.
Space group R-3m (No. 166, hexagonal axes)
Asymmetric unit:
Gd1 0.0000 0.0000 0.0000 x3  6 C 2.56
Ho1 0.0000 0.0000 0.5000 x3  6 C 2.54
C1 0.0000 0.0000 0.2494 x6  3 Ho 2.54, 3 Gd 2.56

DOS(E_F), states/eV/cell: 13.46
ρ, Mg/m³: 8.68
Formation energy from the elements, eV/atom: 0.0702
Magnetization, Bohr magnetons per cell: 20.1

No. 5
Compound: NdSm2N2
Source: Alexandria
Functional: GGA-PBE
Structure: relaxed

Cell: 3.6036 5.1149 11.1049 Å, 90.00 90.00 90.00°
Closest atoms and distances in Å follow each position.
Space group Immm (No. 71)
Asymmetric unit:
Nd1 0.0000 0.0000 0.0000 x2  4 N 2.63
Sm1 0.0000 0.0000 0.3183 x4  4 N 2.42-2.56
N1 0.0000 0.5000 0.3272 x4  4 Sm 2.42-2.56, 2 Nd 2.63

DOS(E_F), states/eV/cell: 6.39
Energy above the lowest structure with this stoichiometry, meV per atom: 0.0
ρ, Mg/m³: 7.67
Magnetization, Bohr magnetons per cell: 0.0

No. 6
Compound: Y2ZnNi
Source: Alexandria
Functional: GGA-PBE
Structure: relaxed

Cell: 7.5694 7.5694 6.6078 Å, 90.00 90.00 90.00°
Closest atoms and distances in Å follow each position.
Space group I-42d (No. 122)
Asymmetric unit:
Y1 0.2134 0.2500 0.1250 x8  2 Ni 2.62
Zn1 0.0000 0.0000 0.5000 x4  4 Y 3.00, 2 Ni 3.30
Ni1 0.0000 0.0000 0.0000 x4  4 Y 2.62

DOS(E_F), states/eV/cell: 11.90
ρ, Mg/m³: 5.30
Formation energy from the elements, eV/atom: 0.0354
Magnetization, Bohr magnetons per cell: 0.0

no.,raw total energy (eV per atom)
1,-1.98
2,-4.34
3,-4.41
4,-9.21
5,-7.30
6,-4.96